# 1
This record from the Alexandria database describes a relaxed LiBeTe2 crystal. The functional is PBE-GGA.

a = 6.3055 Å, b = 7.3707 Å, c = 3.6788 Å
α = 90.00°, β = 90.00°, γ = 90.00°
With the nearest neighbours (Å) after each atom.
Space group Cmmm (No. 65)
Inequivalent atoms, fractional coordinates:
Li: 0.0000 0.0000 0.0000 (multiplicity 2)  8 Te 3.04, 2 Be 3.15
Be: 0.0000 0.5000 0.0000 (multiplicity 2)  8 Te 3.04, 2 Li 3.15
Te: 0.2500 0.2500 0.5000 (multiplicity 4)  4 Li 3.04, 4 Be 3.04, 2 Te 3.15

Final energy   -2.8640 eV per atom
Total magnetic moment   0.0 μB per cell
Density   5.27 g cm⁻³

# 2
This record from the Alexandria database describes a relaxed Cs2Sn2Pd crystal. The functional is PBE-GGA.

a = 7.2498 Å, b = 7.2498 Å, c = 6.5481 Å
α = 90.00°, β = 90.00°, γ = 90.00°
With the nearest neighbours (Å) after each atom.
Space group P4/mbm (No. 127)
Inequivalent atoms, fractional coordinates:
Cs: 0.1823 0.3177 0.0000 (multiplicity 4)  6 Sn 3.73-4.05, 5 Cs 3.74-3.76
Sn: 0.1430 0.6430 0.5000 (multiplicity 4)  2 Pd 2.79, 1 Sn 2.93
Pd: 0.0000 0.0000 0.5000 (multiplicity 2)  4 Sn 2.79

Final energy   -3.1027 eV per atom
Formation energy   -0.12 eV per atom
Relative energy among the computed polymorphs   206 meV per atom
Total magnetic moment   0.0 μB per cell
Density   5.88 g cm⁻³

# 3
This record from the Alexandria database describes a relaxed LiCa2MgHg6 crystal. The functional is PBE-GGA.

a = 5.2135 Å, b = 6.4851 Å, c = 7.9531 Å
α = 103.12°, β = 104.91°, γ = 96.57°
With the nearest neighbours (Å) after each atom.
Space group P-1 (No. 2)
Inequivalent atoms, fractional coordinates:
Li: 0.0000 0.0000 0.0000 (multiplicity 1)  8 Hg 2.87-3.21
Ca: 0.4846 0.5788 0.7532 (multiplicity 2)  8 Hg 3.15-3.38, 1 Li 3.42
Mg: 0.5000 0.0000 0.5000 (multiplicity 1)  4 Hg 2.83-2.97
Hg: 0.0266 0.6682 0.1854 (multiplicity 2)  1 Li 2.87, 3 Hg 3.00-3.17, 2 Ca 3.15-3.16, 1 Mg 3.19
Hg: 0.0473 0.2349 0.4104 (multiplicity 2)  1 Mg 2.97, 2 Hg 3.14-3.26, 1 Li 3.21, 3 Ca 3.24-3.28
Hg: 0.4502 0.1084 0.8545 (multiplicity 2)  1 Mg 2.83, 4 Hg 2.94-3.14, 2 Li 2.95-3.03

Final energy   -1.2629 eV per atom
Formation energy   -0.33 eV per atom
Total magnetic moment   0.0 μB per cell
Density   8.78 g cm⁻³

# 4
This record from the Alexandria database describes a relaxed Tb2YTm3 crystal. The functional is PBE-GGA.

a = 17.2895 Å, b = 7.0536 Å, c = 6.0978 Å
α = 90.00°, β = 90.12°, γ = 90.00°
With the nearest neighbours (Å) after each atom.
Space group C2/c (No. 15)
Inequivalent atoms, fractional coordinates:
Tb: 0.1666 0.1247 0.4172 (multiplicity 8)  8 Tm 3.52-3.53, 3 Tb 3.52-3.53, 1 Y 3.53
Y: 0.0000 0.3744 0.2500 (multiplicity 4)  8 Tm 3.52-3.54, 2 Tb 3.53, 2 Y 3.53
Tm: 0.0000 0.1245 0.7500 (multiplicity 4)  4 Tm 3.52-3.53, 4 Y 3.52-3.53, 4 Tb 3.52-3.53
Tm: 0.1669 0.3748 0.9158 (multiplicity 8)  6 Tb 3.52-3.53, 4 Tm 3.52-3.53, 2 Y 3.53-3.54

Final energy   -4.8317 eV per atom
Formation energy   0.02 eV per atom
Relative energy among the computed polymorphs   0 meV per atom
Total magnetic moment   0.0 μB per cell
Density   8.16 g cm⁻³

# 5
This record from the Alexandria database describes a relaxed La2ThAs2Se2 crystal. The functional is PBE-GGA.

a = 5.5970 Å, b = 5.5970 Å, c = 15.0070 Å
α = 90.00°, β = 90.00°, γ = 90.00°
With the nearest neighbours (Å) after each atom.
Space group I4/mmm (No. 139)
Inequivalent atoms, fractional coordinates:
La: 0.0000 0.0000 0.1215 (multiplicity 4)  1 Se 2.80
Th: 0.0000 0.0000 0.5000 (multiplicity 2)  4 As 2.80, 2 Se 2.88
As: 0.0000 0.5000 0.0000 (multiplicity 4)  2 Th 2.80
Se: 0.0000 0.0000 0.3078 (multiplicity 4)  1 La 2.80, 1 Th 2.88

Final energy   -6.0943 eV per atom
Total magnetic moment   0.0 μB per cell
Density   5.78 g cm⁻³

# 6
This record from the Alexandria database describes a relaxed KLaSeBr crystal. The functional is PBE-GGA.

a = 4.2893 Å, b = 4.2893 Å, c = 24.6100 Å
α = 90.00°, β = 90.00°, γ = 120.00°
With the nearest neighbours (Å) after each atom.
Space group R3m (No. 160, hexagonal axes)
Inequivalent atoms, fractional coordinates:
K: 0.0000 0.0000 0.0000 (multiplicity 3)  3 Se 3.20, 3 Br 3.48
La: 0.0000 0.0000 0.8178 (multiplicity 3)  3 Se 3.00, 3 Br 3.21
Se: 0.0000 0.0000 0.4159 (multiplicity 3)  3 La 3.00, 3 K 3.20
Br: 0.0000 0.0000 0.2339 (multiplicity 3)  3 La 3.21, 3 K 3.48

Final energy   -4.3946 eV per atom
Total magnetic moment   0.0 μB per cell
Density   4.28 g cm⁻³

# 7
This record from the Alexandria database describes a relaxed TaPBr crystal. The functional is PBE-GGA.

a = 3.4729 Å, b = 3.4729 Å, c = 6.4908 Å
α = 90.00°, β = 90.00°, γ = 120.00°
With the nearest neighbours (Å) after each atom.
Space group P3m1 (No. 156)
Inequivalent atoms, fractional coordinates:
Ta: 0.0000 0.0000 0.0000 (multiplicity 1)  3 P 2.46
P: 0.3333 0.6667 0.7810 (multiplicity 1)  3 Ta 2.46
Br: 0.6667 0.3333 0.2930 (multiplicity 1)  3 Ta 2.76

Final energy   -6.6452 eV per atom
Relative energy among the computed polymorphs   0 meV per atom
Total magnetic moment   0.0 μB per cell
Density   7.15 g cm⁻³

# 8
This record from the Alexandria database describes a relaxed La2PuGeN5 crystal. The functional is PBE-GGA.

a = 3.4605 Å, b = 14.4326 Å, c = 10.7542 Å
α = 90.00°, β = 90.00°, γ = 90.00°
With the nearest neighbours (Å) after each atom.
Space group Cmc2_1 (No. 36)
Inequivalent atoms, fractional coordinates:
La: 0.0000 0.1085 0.0000 (multiplicity 4)  6 N 2.58-2.69
La: 0.0000 0.1348 0.6417 (multiplicity 4)  7 N 2.52-2.79
Pu: 0.0000 0.2014 0.3469 (multiplicity 4)  5 N 2.08-2.31
Ge: 0.0000 0.4539 0.7554 (multiplicity 4)  4 N 1.82-1.99
N: 0.0000 0.0388 0.3466 (multiplicity 4)  2 Ge 1.99
N: 0.0000 0.2862 0.9773 (multiplicity 4)  2 Pu 2.23
N: 0.0000 0.3218 0.7083 (multiplicity 4)  1 Ge 1.97
N: 0.0000 0.3449 0.3305 (multiplicity 4)  1 Pu 2.08
N: 0.0000 0.4891 0.1041 (multiplicity 4)  1 Ge 1.82

Final energy   -8.7333 eV per atom
Total magnetic moment   12.0 μB per cell
Density   8.22 g cm⁻³